This record from Alexandria via LeMat-Bulk describes a geometry-optimized MgTl2Hg structure. The functional is PBE-GGA.

Cell lengths 5.3409, 5.3409, 5.3409 Å; angles 60.00, 60.00, 60.00 degrees
Last column: nearest neighbours and their distance in Å.
Element x y z (fractional)
Tl 0.0000 0.0000 0.0000  4 Mg 3.27, 4 Tl 3.27
Tl 0.2500 0.2500 0.2500  4 Hg 3.27, 4 Tl 3.27
Mg 0.7500 0.7500 0.7500  4 Hg 3.27, 4 Tl 3.27
Hg 0.5000 0.5000 0.5000  4 Tl 3.27, 4 Mg 3.27

- Formation energy from the elements: 0.154 eV/f.u.

This record from Alexandria via LeMat-Bulk describes a geometry-optimized Ge5Te12Pb3 structure. The functional is PBE-GGA.

Cell lengths 15.2597, 15.2597, 15.2597 Å; angles 109.47, 109.47, 109.47 degrees
Last column: nearest neighbours and their distance in Å.
Element x y z (fractional)
Te 0.4677 0.6789 0.0897  2 Ge 2.67-2.90
Te 0.6220 0.5897 0.9107  2 Ge 2.67-2.90
Te 0.4107 0.2888 0.3211  2 Ge 2.67-2.90
Te 0.0323 0.6220 0.7112  2 Ge 2.67-2.90
Te 0.9677 0.5897 0.1789  2 Ge 2.67-2.90
Te 0.7888 0.3211 0.9107  2 Ge 2.67-2.90
Te 0.3211 0.5323 0.4103  2 Ge 2.67-2.90
Te 0.1220 0.4107 0.0897  2 Ge 2.67-2.90
Te 0.2888 0.8780 0.9677  2 Ge 2.67-2.90
Te 0.0323 0.4103 0.8211  2 Ge 2.67-2.90
Te 0.9103 0.0893 0.8780  2 Ge 2.67-2.90
Te 0.9677 0.3780 0.2888  2 Ge 2.67-2.90
Te 0.6789 0.2112 0.5893  2 Ge 2.67-2.90
Te 0.4103 0.0323 0.3211  2 Ge 2.67-2.90
Te 0.4103 0.3780 0.5893  2 Ge 2.67-2.90
Te 0.7112 0.5893 0.1789  2 Ge 2.67-2.90
Te 0.8211 0.9107 0.2888  2 Ge 2.67-2.90
Te 0.1789 0.0897 0.9677  2 Ge 2.67-2.90
Te 0.3780 0.4103 0.0893  2 Ge 2.67-2.90
Te 0.5323 0.3211 0.9103  2 Ge 2.67-2.90
Te 0.0897 0.1789 0.4677  2 Ge 2.67-2.90
Te 0.5893 0.8780 0.4103  2 Ge 2.67-2.90
Te 0.9107 0.0897 0.6220  2 Ge 2.67-2.90
Te 0.3780 0.9677 0.7888  2 Ge 2.67-2.90
Te 0.5897 0.9677 0.6789  2 Ge 2.67-2.90
Te 0.7112 0.1220 0.0323  2 Ge 2.67-2.90
Te 0.4107 0.1220 0.5897  2 Ge 2.67-2.90
Te 0.6789 0.4677 0.5897  2 Ge 2.67-2.90
Te 0.7888 0.4677 0.3780  2 Ge 2.67-2.90
Te 0.0897 0.9107 0.1220  2 Ge 2.67-2.90
Te 0.8780 0.2888 0.4677  2 Ge 2.67-2.90
Te 0.5893 0.7112 0.6789  2 Ge 2.67-2.90
Te 0.2112 0.5323 0.6220  2 Ge 2.67-2.90
Te 0.9107 0.8211 0.7888  2 Ge 2.67-2.90
Te 0.0893 0.1789 0.2112  2 Ge 2.67-2.90
Te 0.9103 0.8211 0.5323  2 Ge 2.67-2.90
Te 0.2888 0.4107 0.8211  2 Ge 2.67-2.90
Te 0.3211 0.7888 0.4107  2 Ge 2.67-2.90
Te 0.8780 0.5893 0.9103  2 Ge 2.67-2.90
Te 0.6220 0.0323 0.2112  2 Ge 2.67-2.90
Te 0.5897 0.6220 0.4107  2 Ge 2.67-2.90
Te 0.1789 0.0893 0.7112  2 Ge 2.67-2.90
Te 0.5323 0.2112 0.1220  2 Ge 2.67-2.90
Te 0.8211 0.9103 0.0323  2 Ge 2.67-2.90
Te 0.2112 0.6789 0.0893  2 Ge 2.67-2.90
Te 0.1220 0.7112 0.5323  2 Ge 2.67-2.90
Te 0.0893 0.9103 0.3780  2 Ge 2.67-2.90
Te 0.4677 0.7888 0.8780  2 Ge 2.67-2.90
Pb 0.6250 0.2500 0.3750  8 Te 3.40
Pb 0.2500 0.6250 0.8750  8 Te 3.40
Pb 0.2500 0.1250 0.3750  8 Te 3.40
Pb 0.8750 0.1250 0.2500  8 Te 3.40
Pb 0.7500 0.3750 0.1250  8 Te 3.40
Pb 0.6250 0.3750 0.7500  8 Te 3.40
Pb 0.1250 0.2500 0.8750  8 Te 3.40
Pb 0.8750 0.7500 0.1250  8 Te 3.40
Pb 0.3750 0.7500 0.6250  8 Te 3.40
Pb 0.1250 0.8750 0.7500  8 Te 3.40
Pb 0.3750 0.6250 0.2500  8 Te 3.40
Pb 0.7500 0.8750 0.6250  8 Te 3.40
Ge 0.8750 0.6250 0.7500  4 Te 2.67
Ge 0.1250 0.7500 0.3750  4 Te 2.67
Ge 0.6250 0.8750 0.2500  4 Te 2.67
Ge 0.5000 0.5000 0.5000  6 Te 2.90
Ge 0.3750 0.1250 0.7500  4 Te 2.67
Ge 0.0000 0.5000 0.5000  6 Te 2.90
Ge 0.5000 0.5000 0.0000  6 Te 2.90
Ge 0.6250 0.7500 0.8750  4 Te 2.67
Ge 0.1250 0.3750 0.2500  4 Te 2.67
Ge 0.5000 0.0000 0.5000  6 Te 2.90
Ge 0.0000 0.0000 0.5000  6 Te 2.90
Ge 0.7500 0.6250 0.3750  4 Te 2.67
Ge 0.3750 0.2500 0.1250  4 Te 2.67
Ge 0.0000 0.5000 0.0000  6 Te 2.90
Ge 0.0000 0.0000 0.0000  6 Te 2.90
Ge 0.5000 0.0000 0.0000  6 Te 2.90
Ge 0.7500 0.1250 0.8750  4 Te 2.67
Ge 0.8750 0.2500 0.6250  4 Te 2.67
Ge 0.2500 0.8750 0.1250  4 Te 2.67
Ge 0.2500 0.3750 0.6250  4 Te 2.67

- Uncorrected formation energy: -0.88 eV/f.u.

This record from Alexandria via LeMat-Bulk describes a geometry-optimized CaInBr2 structure. The functional is PBE-GGA.

Cell lengths 5.6736, 4.6623, 5.6286 Å; angles 65.43, 90.00, 90.00 degrees
Last column: nearest neighbours and their distance in Å.
Element x y z (fractional)
Br 0.0000 0.0378 0.0505  3 Ca 3.05-3.13
Br 0.5000 0.4105 0.3016  2 Ca 2.94, 3 In 3.08-3.11
Ca 0.0000 0.3380 0.4543  5 Br 2.94-3.13
In 0.5000 0.7137 0.6936  3 Br 3.08-3.11

- Uncorrected formation energy: -4.13 eV/f.u.

This record from Alexandria via LeMat-Bulk describes a geometry-optimized TiIn2F6 structure. The functional is PBE-GGA.

Cell lengths 6.5917, 7.5626, 7.7488 Å; angles 90.00, 90.00, 120.77 degrees
Last column: nearest neighbours and their distance in Å.
Element x y z (fractional)
In 0.1892 0.3574 0.5007  4 F 2.54-2.65
In 0.3108 0.1426 0.0007  4 F 2.54-2.65
In 0.8108 0.6426 0.4993  4 F 2.54-2.65
In 0.6892 0.8574 0.9993  4 F 2.54-2.65
F 0.8519 0.5724 0.8283  1 Ti 1.89
F 0.7344 0.2223 0.9986  1 Ti 1.93
F 0.1481 0.4276 0.1717  1 Ti 1.89
F 0.8471 0.5713 0.1687  1 Ti 1.89
F 0.6529 0.9287 0.6687  1 Ti 1.89
F 0.7656 0.2777 0.4986  1 Ti 1.93
F 0.6481 0.9276 0.3283  1 Ti 1.89
F 0.2344 0.7223 0.5014  1 Ti 1.93
F 0.1529 0.4287 0.8313  1 Ti 1.89
F 0.3519 0.0724 0.6717  1 Ti 1.89
F 0.3471 0.0713 0.3313  1 Ti 1.89
F 0.2656 0.7777 0.0014  1 Ti 1.93
Ti 0.5000 0.0000 0.5000  6 F 1.89-1.93
Ti 0.0000 0.5000 0.0000  6 F 1.89-1.93

- Uncorrected formation energy: -24.21 eV/f.u.

This record from Alexandria via LeMat-Bulk describes a geometry-optimized DyHoMgPd structure. The functional is PBE-GGA.

Cell lengths 5.1188, 5.1188, 5.1188 Å; angles 60.00, 60.00, 60.00 degrees
Last column: nearest neighbours and their distance in Å.
Element x y z (fractional)
Pd 0.7500 0.7500 0.7500  4 Dy 3.13, 4 Ho 3.13
Mg 0.2500 0.2500 0.2500  4 Dy 3.13, 4 Ho 3.13
Dy 0.0000 0.0000 0.0000  4 Pd 3.13, 4 Mg 3.13
Ho 0.5000 0.5000 0.5000  4 Mg 3.13, 4 Pd 3.13

- Formation energy from the elements: -1.622 eV/f.u.

This record from Alexandria via LeMat-Bulk describes a geometry-optimized SmGdPtPb structure. The functional is PBE-GGA.

Cell lengths 5.2608, 5.2608, 5.2608 Å; angles 60.00, 60.00, 60.00 degrees
Last column: nearest neighbours and their distance in Å.
Element x y z (fractional)
Pt 0.2500 0.2500 0.2500  4 Gd 3.22, 4 Sm 3.22
Pb 0.7500 0.7500 0.7500  4 Sm 3.22, 4 Gd 3.22
Gd 0.0000 0.0000 0.0000  4 Pb 3.22, 4 Pt 3.22
Sm 0.5000 0.5000 0.5000  4 Pt 3.22, 4 Pb 3.22

- Formation energy from the elements: -2.859 eV/f.u.

This record from Alexandria via LeMat-Bulk describes a geometry-optimized La2BiWN structure. The functional is PBE-GGA.

Cell lengths 4.9732, 4.8398, 4.9732 Å; angles 90.00, 90.00, 90.00 degrees
Last column: nearest neighbours and their distance in Å.
Element x y z (fractional)
La 0.5000 0.0000 0.0000  2 N 2.49
La 0.0000 0.0000 0.5000  2 N 2.49
W 0.5000 0.5000 0.5000  8 La 3.47, 4 Bi 3.52
Bi 0.0000 0.5000 0.0000  2 N 2.42
N 0.0000 0.0000 0.0000  2 Bi 2.42, 4 La 2.49

- Uncorrected formation energy: 0.97 eV/f.u.

This record from Alexandria via LeMat-Bulk describes a geometry-optimized LaIn3Bi structure. The functional is PBE-GGA.

Cell lengths 5.7526, 5.7526, 5.7526 Å; angles 90.00, 90.00, 90.00 degrees
Last column: nearest neighbours and their distance in Å.
Element x y z (fractional)
In 0.0000 0.5000 0.0000  2 Bi 2.88
In 0.5000 0.0000 0.0000  2 Bi 2.88
In 0.0000 0.0000 0.5000  2 Bi 2.88
Bi 0.0000 0.0000 0.0000  6 In 2.88
La 0.5000 0.5000 0.5000  12 In 4.07

- Formation energy from the elements: 1.973 eV/f.u.

This record from Alexandria via LeMat-Bulk describes a geometry-optimized NiIr3Rh6 structure. The functional is PBE-GGA.

Cell lengths 4.9245, 4.9245, 6.9685 Å; angles 90.00, 90.00, 120.00 degrees
Last column: nearest neighbours and their distance in Å.
Element x y z (fractional)
Ir 0.6667 0.3333 0.5000  6 Rh 2.64, 6 Ir 2.84
Ir 0.0000 0.0000 0.5000  6 Ir 2.84, 6 Rh 2.89
Ir 0.3333 0.6667 0.5000  6 Rh 2.64, 6 Ir 2.84
Rh 0.0000 0.6094 0.1901  1 Ni 2.34
Rh 0.0000 0.3906 0.8099  1 Ni 2.34
Rh 0.6094 0.6094 0.8099  1 Ni 2.34
Rh 0.3906 0.3906 0.1901  1 Ni 2.34
Rh 0.6094 0.0000 0.1901  1 Ni 2.34
Rh 0.3906 0.0000 0.8099  1 Ni 2.34
Ni 0.0000 0.0000 0.0000  6 Rh 2.34

- Formation energy from the elements: 2.691 eV/f.u.

This record from Alexandria via LeMat-Bulk describes a geometry-optimized BaCr2Mo structure. The functional is PBE-GGA.

Cell lengths 3.4472, 4.9966, 4.9966 Å; angles 90.00, 90.00, 90.00 degrees
Last column: nearest neighbours and their distance in Å.
Element x y z (fractional)
Cr 0.0000 0.0000 0.0000  4 Ba 3.04, 4 Mo 3.04
Cr 0.0000 0.5000 0.5000  4 Ba 3.04, 4 Mo 3.04
Ba 0.5000 0.0000 0.5000  8 Cr 3.04
Mo 0.5000 0.5000 0.0000  8 Cr 3.04

- Formation energy from the elements: 5.372 eV/f.u.

Volume across the listed records, respectively: 26.93 34.19 33.85 18.44 23.71 25.74 23.94 38.07 14.64 21.52 A^3/atom.
Density of states at the Fermi level across the listed records, respectively: 0.345 0.839 0.315 0.000 0.611 0.647 1.006 1.108 1.123 1.246 states/eV/atom.